PBE Dy6Ag2C, relaxed; E = -44.53 eV/f.u.; total magnetization = 0.000 μB/cell; symmetry = P2_1/c, No. 14
1.0
-2.872 -2.279 -5.759
-0.318 -6.460 2.715
-8.800 1.907 3.507
Dy Ag C
12 4 2
direct
0.702 0.220 0.049
0.718 0.207 0.451
0.905 0.986 0.743
0.798 0.720 0.451
0.202 0.280 0.549
0.282 0.793 0.549
0.298 0.780 0.951
0.218 0.293 0.951
0.595 0.486 0.757
0.405 0.514 0.243
0.782 0.707 0.049
0.095 0.014 0.257
0.520 0.948 0.250
0.980 0.448 0.250
0.480 0.052 0.750
0.020 0.552 0.750
0.500 0.500 0.000
0.000 0.000 0.500